No. 1
Compound: SrTi3Sb
Source: Alexandria
Functional: PBE
Structure: relaxed Values from VASP.

The structure in Quantum ESPRESSO input format:
```
&SYSTEM
  ibrav = 0, nat = 5, ntyp = 3
/
ATOMIC_SPECIES
Sb 121.76 Sb.upf
Ti 47.87 Ti.upf
Sr 87.62 Sr.upf
CELL_PARAMETERS angstrom
4.842 0.000 0.000
0.000 4.842 0.000
0.000 0.000 4.842
ATOMIC_POSITIONS crystal
Sb 0.500 0.500 0.500
Ti 0.000 0.500 0.000
Ti 0.000 0.000 0.500
Ti 0.500 0.000 0.000
Sr 0.000 0.000 0.000
```

Calculated values
- formation energy without anion corrections (meV per atom) = 1689
- crystal system = cubic
- symmetry = Pm-3m (221)

No. 2
Compound: Sr2TiSb
Source: Alexandria
Functional: PBE
Structure: relaxed Values from VASP.

The structure in Quantum ESPRESSO input format:
```
&SYSTEM
  ibrav = 0, nat = 8, ntyp = 3
/
ATOMIC_SPECIES
Sb 121.76 Sb.upf
Ti 47.87 Ti.upf
Sr 87.62 Sr.upf
CELL_PARAMETERS angstrom
9.141 0.000 0.000
0.000 9.141 0.000
4.570 4.570 3.287
ATOMIC_POSITIONS crystal
Sb 0.000 0.000 0.000
Sb 0.750 0.250 0.500
Ti 0.500 0.500 0.000
Ti 0.250 0.750 0.500
Sr 0.646 0.125 0.250
Sr 0.104 0.625 0.250
Sr 0.375 0.354 0.750
Sr 0.875 0.896 0.750
```

Calculated values
- formation energy without anion corrections (meV per atom) = 253
- crystal system = tetragonal
- symmetry = I-42d (122)

No. 3
Compound: Sr3TiSb
Source: Alexandria
Functional: PBE
Structure: relaxed Values from VASP.

The structure in Quantum ESPRESSO input format:
```
&SYSTEM
  ibrav = 0, nat = 5, ntyp = 3
/
ATOMIC_SPECIES
Sb 121.76 Sb.upf
Ti 47.87 Ti.upf
Sr 87.62 Sr.upf
CELL_PARAMETERS angstrom
-4.180 3.224 -3.373
-4.040 -4.766 0.452
-2.333 2.477 5.260
ATOMIC_POSITIONS crystal
Sb 0.000 0.000 0.000
Ti 0.500 0.500 0.500
Sr 0.000 0.500 0.000
Sr 0.000 0.000 0.500
Sr 0.500 0.000 0.000
```

Calculated values
- formation energy without anion corrections (meV per atom) = 388
- crystal system = cubic
- symmetry = Pm-3m (221)

No. 4
Compound: SrTi2Sb2
Source: Alexandria
Functional: PBE
Structure: relaxed Values from VASP.

The structure in Quantum ESPRESSO input format:
```
&SYSTEM
  ibrav = 0, nat = 5, ntyp = 3
/
ATOMIC_SPECIES
Sb 121.76 Sb.upf
Ti 47.87 Ti.upf
Sr 87.62 Sr.upf
CELL_PARAMETERS angstrom
5.327 0.000 0.000
0.000 5.327 0.000
2.664 2.664 4.688
ATOMIC_POSITIONS crystal
Sb 0.750 0.250 0.500
Sb 0.250 0.750 0.500
Ti 0.358 0.358 0.284
Ti 0.642 0.642 0.716
Sr 0.000 0.000 0.000
```

Calculated values
- formation energy without anion corrections (meV per atom) = -230
- crystal system = tetragonal
- symmetry = I4/mmm (139)

- What is the formation energy without anion corrections in the third record?
  388 meV per atom